[1]
Here is an optimized crystal structure of ErLu3Sc2Bi2Os from the Open Quantum Materials Database. Energies are from PBE.

Structure (POSCAR):
```
ErLu3Sc2Bi2Os
1.0
-0.1150 0.0647 -4.1242
0.8240 -8.0459 -0.1492
-7.3623 3.3419 0.2577
Er Sc Bi Lu Os
1 2 2 3 1
Cartesian
-2.5094 -1.8054 0.0417 Er
-4.5741 2.0737 0.1601 Sc
0.5096 -4.9980 -0.0926 Sc
-4.7247 -0.3985 -1.9387 Bi
-1.9509 -4.2569 -2.0766 Bi
-5.0495 -3.5592 -1.9792 Lu
-7.2030 1.4862 -1.8400 Lu
-0.9536 -7.2071 -2.1507 Lu
-6.5231 -4.6931 0.1083 Os
```

As for the calculated total energy: -54.81 eV for the cell shown. The total magnetization is 0.0031 μB/atom.

=====

[2]
Here is an optimized crystal structure of Er3TmLu2Bi2Os from the Open Quantum Materials Database. Energies are from PBE.

Structure (POSCAR):
```
Er3TmLu2Bi2Os
1.0
4.2156 0.0000 0.0000
0.0000 7.0749 4.0836
0.0000 -7.0749 4.0836
Lu Er Os Bi Tm
2 3 1 2 1
Cartesian
2.1078 5.4365 3.1379 Lu
2.1078 -5.4365 3.1379 Lu
0.0000 0.0000 5.0385 Er
0.0000 -4.3576 5.6496 Er
0.0000 4.3576 5.6496 Er
0.0000 0.0000 8.1494 Os
2.1078 2.3638 4.0875 Bi
2.1078 -2.3638 4.0875 Bi
2.1078 0.0000 1.8979 Tm
```

As for the calculated total energy: -51.67 eV for the cell shown. The total magnetization is 0.0043 μB/atom.

=====

[3]
Here is an optimized crystal structure of Er2TmLu3Bi2Os from the Open Quantum Materials Database. Energies are from PBE.

Structure (POSCAR):
```
Er2TmLu3Bi2Os
1.0
4.2089 0.0000 0.0000
0.0000 7.0673 4.0692
0.0000 -7.0673 4.0692
Lu Os Bi Er Tm
3 1 2 2 1
Cartesian
2.1045 0.0000 6.2586 Lu
2.1045 -1.6331 0.9424 Lu
2.1045 1.6331 0.9424 Lu
0.0000 0.0000 0.0120 Os
2.1045 -2.3527 4.0667 Bi
2.1045 2.3527 4.0667 Bi
0.0000 2.7072 6.5781 Er
0.0000 -2.7072 6.5781 Er
0.0000 0.0000 3.1085 Tm
```

As for the calculated total energy: -51.64 eV for the cell shown. The total magnetization is 0.0035 μB/atom.

=====

[4]
Here is an optimized crystal structure of Er3Tm2LuBi2Os from the Open Quantum Materials Database. Energies are from PBE.

Structure (POSCAR):
```
Er3Tm2LuBi2Os
1.0
4.2202 0.0000 0.0000
0.0000 7.0890 4.0912
0.0000 -7.0890 4.0912
Bi Tm Lu Os Er
2 2 1 1 3
Cartesian
2.1101 -2.3587 4.0945 Bi
2.1101 2.3587 4.0945 Bi
2.1101 -1.6491 0.9517 Tm
2.1101 1.6491 0.9517 Tm
2.1101 0.0000 6.2858 Lu
0.0000 0.0000 8.1678 Os
0.0000 0.0000 3.1431 Er
0.0000 -2.7175 6.6118 Er
0.0000 2.7175 6.6118 Er
```

As for the calculated total energy: -51.58 eV for the cell shown. The total magnetization is 0.0049 μB/atom.

=====

[5]
Here is an optimized crystal structure of Y2Er3LuBi2Os from the Open Quantum Materials Database. Energies are from PBE.

Structure (POSCAR):
```
Y2Er3LuBi2Os
1.0
4.2195 0.0000 0.0000
0.0000 7.1073 4.1432
0.0000 -7.1073 4.1432
Y Er Lu Bi Os
2 3 1 2 1
Cartesian
2.1097 -1.6553 7.3040 Y
2.1097 1.6553 7.3040 Y
0.0000 -4.3881 5.7266 Er
0.0000 0.0000 5.0290 Er
0.0000 4.3881 5.7266 Er
2.1097 0.0000 1.9506 Lu
2.1097 -2.3527 4.1290 Bi
2.1097 2.3527 4.1290 Bi
0.0000 0.0000 0.1333 Os
```

As for the calculated total energy: -55.33 eV for the cell shown. The total magnetization is 0.0056 μB/atom.

=====

[6]
Here is an optimized crystal structure of YEr3Lu2Bi2Os from the Open Quantum Materials Database. Energies are from PBE.

Structure (POSCAR):
```
YEr3Lu2Bi2Os
1.0
4.2194 0.0000 0.0000
0.0000 7.0972 4.0945
0.0000 -7.0972 4.0945
Lu Y Bi Er Os
2 1 2 3 1
Cartesian
2.1097 1.6452 7.2375 Lu
2.1097 -1.6452 7.2375 Lu
2.1097 0.0000 1.9268 Y
2.1097 2.3808 4.1043 Bi
2.1097 -2.3808 4.1043 Bi
0.0000 0.0000 5.0586 Er
0.0000 4.3620 5.6629 Er
0.0000 -4.3620 5.6629 Er
0.0000 0.0000 8.1392 Os
```

As for the calculated total energy: -53.54 eV for the cell shown. The total magnetization is 0.0065 μB/atom.

=====

[7]
Here is an optimized crystal structure of Er6Bi2Mo from the Open Quantum Materials Database. Energies are from PBE.

Structure (POSCAR):
```
Er6Bi2Mo
1.0
-3.7058 0.6025 7.2960
3.1280 -7.1853 -2.4318
3.7867 1.0262 1.8386
Mo Er Bi
1 6 2
Cartesian
1.8933 0.5131 0.9193 Mo
-0.1365 -1.5547 1.1488 Er
-2.8306 0.4602 5.5728 Er
0.4498 0.7478 3.7613 Er
2.3893 -5.4883 -1.8575 Er
1.5406 -3.5055 3.8887 Er
3.1118 -2.2858 -0.0280 Er
0.8501 -4.5894 0.8108 Bi
-1.4279 -1.9934 4.0534 Bi
```

As for the calculated total energy: -50.03 eV for the cell shown. The total magnetization is 0.0010 μB/atom.

=====

[8]
Here is an optimized crystal structure of ErBiMo from the Open Quantum Materials Database. Energies are from PBE.

Structure (POSCAR):
```
ErBiMo
1.0
0.0000 3.3797 3.3797
3.3797 0.0000 3.3797
3.3797 3.3797 0.0000
Bi Er Mo
1 1 1
Cartesian
1.6898 1.6898 1.6898 Bi
5.0695 5.0695 5.0695 Er
0.0000 0.0000 0.0000 Mo
```

As for the calculated total energy: -18.04 eV for the cell shown. The total magnetization is 0.0778 μB/atom. For the offset from the most stable computed form, the calculation gives 0 meV/atom.